(1)
The following is a DFT calculation (PBE) of a relaxed Ac8Ru3SeI4 crystal.

a = 8.9058 Å, b = 9.9791 Å, c = 8.9062 Å
α = 116.52°, β = 120.00°, γ = 90.00°
Last column: nearest neighbours and their distance in Å.
Sites, in units of the cell vectors:
Ac 0.2390 0.6840 0.9454  2 Ru 2.95, 1 Se 3.16
Ac 0.2389 0.6838 0.4778  2 Ru 2.95, 1 Se 3.16
Ac 0.2695 0.3087 0.5390  3 Ru 3.05
Ac 0.7064 0.6840 0.9454  2 Ru 2.95, 1 Se 3.16
Ac 0.2936 0.3160 0.0546  2 Ru 2.95, 1 Se 3.16
Ac 0.7305 0.6913 0.4610  3 Ru 3.05
Ac 0.7611 0.3162 0.5222  2 Ru 2.95, 1 Se 3.16
Ac 0.7610 0.3160 0.0546  2 Ru 2.95, 1 Se 3.16
Ru 0.5000 0.5000 0.0000  6 Ac 2.95-3.05
Ru 0.5000 0.5000 0.5000  6 Ac 2.95-3.05
Ru 0.0000 0.5000 0.5000  6 Ac 2.95-3.05
Se 0.0000 0.5000 0.0000  6 Ac 3.16
I 0.5000 0.0000 0.0000  6 Ac 3.62
I 0.5000 0.0000 0.5000  6 Ac 3.69-3.79
I 0.0000 0.0000 0.0000  6 Ac 3.68-3.79
I 0.0000 0.0000 0.5000  6 Ac 3.69-3.79

## Properties
Space-group type: R-3m (166)
Formation energy from raw total energies, meV per atom: -890
DFT total energy, eV for the cell shown: -84.62
Fermi-level density of states, states/eV/cell: 9.05
M_tot, μB/f.u.: 0.00

(2)
The following is a DFT calculation (PBE) of a relaxed CaMnTc2 crystal.

a = 2.6733 Å, b = 5.2552 Å, c = 5.6254 Å
α = 57.16°, β = 90.00°, γ = 90.00°
Last column: nearest neighbours and their distance in Å.
Sites, in units of the cell vectors:
Ca 0.5000 0.5000 0.5000  2 Ca 2.67, 6 Tc 2.81-2.93, 4 Mn 2.95
Mn 0.0000 0.0000 0.5000  2 Mn 2.67, 6 Tc 2.81-2.93, 4 Ca 2.95
Tc 0.0000 0.0000 0.0000  6 Tc 2.67-2.95, 2 Mn 2.81, 4 Ca 2.93
Tc 0.5000 0.5000 0.0000  6 Tc 2.67-2.95, 2 Ca 2.81, 4 Mn 2.93

## Properties
Space-group type: P2/m (10)
Relative energy among the computed polymorphs, meV per atom: 357
DFT total energy, eV for the cell shown: -29.18
Calculated formation energy, kcal/mol of atoms: 15.725
Fermi-level density of states, states/eV/cell: 5.38
M_tot, μB/f.u.: 3.12

(3)
The following is a DFT calculation (PBE) of a relaxed Cs4Pr3BiSe8 crystal.

a = 8.8529 Å, b = 9.8404 Å, c = 8.8535 Å
α = 116.76°, β = 120.00°, γ = 90.00°
Last column: nearest neighbours and their distance in Å.
Sites, in units of the cell vectors:
Cs 0.5000 0.0000 0.0000  6 Se 3.64-3.65
Cs 0.5000 0.0000 0.5000  6 Se 3.63-3.64
Cs 0.0000 0.0000 0.0000  6 Se 3.64
Cs 0.0000 0.0000 0.5000  6 Se 3.63-3.64
Pr 0.5000 0.5000 0.0000  6 Se 3.02-3.03
Pr 0.5000 0.5000 0.5000  6 Se 3.02-3.03
Pr 0.0000 0.5000 0.5000  6 Se 3.02-3.03
Bi 0.0000 0.5000 0.0000  6 Se 3.01
Se 0.2300 0.6917 0.9620  1 Bi 3.01, 2 Pr 3.03
Se 0.2300 0.6917 0.4600  1 Bi 3.01, 2 Pr 3.03
Se 0.2692 0.3080 0.5384  3 Pr 3.02
Se 0.7320 0.6917 0.9620  1 Bi 3.01, 2 Pr 3.03
Se 0.2680 0.3083 0.0380  1 Bi 3.01, 2 Pr 3.03
Se 0.7308 0.6920 0.4616  3 Pr 3.02
Se 0.7700 0.3083 0.5400  1 Bi 3.01, 2 Pr 3.03
Se 0.7700 0.3083 0.0380  1 Bi 3.01, 2 Pr 3.03

## Properties
Space-group type: R-3m (166)
Formation energy from raw total energies, meV per atom: -1489
DFT total energy, eV for the cell shown: -73.34
Fermi-level density of states, states/eV/cell: 0.00
M_tot, μB/f.u.: 0.00

(4)
The following is a DFT calculation (PBE) of a relaxed Ta2ZnCo2 crystal.

a = 7.3265 Å, b = 7.3265 Å, c = 2.8203 Å
α = 90.00°, β = 90.00°, γ = 90.00°
Last column: nearest neighbours and their distance in Å.
Sites, in units of the cell vectors:
Zn 0.0000 0.0000 0.0000  4 Ta 2.76, 2 Zn 2.82
Zn 0.5000 0.5000 0.0000  4 Ta 2.76, 2 Zn 2.82
Co 0.1319 0.6319 0.5000  6 Ta 2.56-2.58, 3 Co 2.73-2.82
Co 0.6319 0.8681 0.5000  6 Ta 2.56-2.58, 3 Co 2.73-2.82
Co 0.8681 0.3681 0.5000  6 Ta 2.56-2.58, 3 Co 2.73-2.82
Co 0.3681 0.1319 0.5000  6 Ta 2.56-2.58, 3 Co 2.73-2.82
Ta 0.3407 0.8407 0.0000  6 Co 2.56-2.58, 2 Zn 2.76, 2 Ta 2.82
Ta 0.8407 0.6593 0.0000  6 Co 2.56-2.58, 2 Zn 2.76, 2 Ta 2.82
Ta 0.6593 0.1593 0.0000  6 Co 2.56-2.58, 2 Zn 2.76, 2 Ta 2.82
Ta 0.1593 0.3407 0.0000  6 Co 2.56-2.58, 2 Zn 2.76, 2 Ta 2.82

## Properties
Space-group type: P4/mbm (127)
DFT total energy, eV for the cell shown: -77.38
Calculated formation energy, kcal/mol of atoms: 2.308
Fermi-level density of states, states/eV/cell: 7.62
M_tot, μB/f.u.: 0.00

(5)
The following is a DFT calculation (PBE) of a relaxed CeSmDy2Ho crystal.

a = 6.9307 Å, b = 7.9721 Å, c = 5.8885 Å
α = 89.99°, β = 90.00°, γ = 90.00°
Last column: nearest neighbours and their distance in Å.
Sites, in units of the cell vectors:
Ce 0.0000 0.0000 0.0000  2 Ce 2.94, 2 Ho 3.16
Ce 0.0000 0.0000 0.5000  2 Ce 2.94, 2 Ho 3.16
Sm 0.1638 0.5000 0.7500  6 Dy 3.52-3.68, 2 Sm 3.72
Sm 0.8362 0.5000 0.2500  6 Dy 3.52-3.68, 2 Sm 3.72
Dy 0.6864 0.7031 0.7500  1 Ho 3.08, 1 Dy 3.24
Dy 0.6864 0.2969 0.7501  1 Ho 3.08, 1 Dy 3.24
Dy 0.3136 0.7031 0.2499  1 Ho 3.08, 1 Dy 3.24
Dy 0.3136 0.2969 0.2500  1 Ho 3.08, 1 Dy 3.24
Ho 0.5968 0.0000 0.2500  2 Dy 3.08, 2 Ce 3.16, 2 Ho 3.24
Ho 0.4032 0.0000 0.7500  2 Dy 3.08, 2 Ce 3.16, 2 Ho 3.24

## Properties
Space-group type: Pmma (51)
DFT total energy, eV for the cell shown: -45.94
Calculated formation energy, kcal/mol of atoms: 6.753
Fermi-level density of states, states/eV/cell: 19.79
M_tot, μB/f.u.: 1.66

(6)
The following is a DFT calculation (PBE) of a relaxed NiRh3 crystal.

a = 2.6999 Å, b = 2.6999 Å, c = 8.6251 Å
α = 90.00°, β = 90.00°, γ = 120.00°
Last column: nearest neighbours and their distance in Å.
Sites, in units of the cell vectors:
Ni 0.0000 0.0000 0.0000  6 Rh 2.60, 6 Ni 2.70
Rh 0.0000 0.0000 0.5000  12 Rh 2.70-2.72
Rh 0.3333 0.6667 0.2409  3 Ni 2.60, 9 Rh 2.70-2.72
Rh 0.3333 0.6667 0.7591  3 Ni 2.60, 9 Rh 2.70-2.72

## Properties
Space-group type: P-6m2 (187)
DFT total energy, eV for the cell shown: -27.56
Calculated formation energy, kcal/mol of atoms: 1.574
Fermi-level density of states, states/eV/cell: 7.64
M_tot, μB/f.u.: 1.41

(7)
The following is a DFT calculation (PBE) of a relaxed Ac2ZnP3Pd4 crystal.

a = 4.3651 Å, b = 4.3651 Å, c = 10.0978 Å
α = 90.00°, β = 90.00°, γ = 90.00°
Last column: nearest neighbours and their distance in Å.
Sites, in units of the cell vectors:
Ac 0.5000 0.0000 0.2447  6 P 3.29-3.38, 8 Pd 3.30-3.36, 2 Zn 3.38
Ac 0.0000 0.5000 0.7553  6 P 3.29-3.38, 8 Pd 3.30-3.36, 2 Zn 3.38
Zn 0.5000 0.5000 0.5000  4 Pd 2.52
P 0.0000 0.0000 0.5000  4 Pd 2.52
P 0.5000 0.0000 0.8679  5 Pd 2.45-2.56
P 0.0000 0.5000 0.1321  5 Pd 2.45-2.56
Pd 0.5000 0.5000 0.0000  4 P 2.56
Pd 0.0000 0.0000 0.0000  4 P 2.56
Pd 0.5000 0.0000 0.6250  3 P 2.45-2.52, 2 Zn 2.52
Pd 0.0000 0.5000 0.3750  3 P 2.45-2.52, 2 Zn 2.52

## Properties
Space-group type: P-4m2 (115)
DFT total energy, eV for the cell shown: -55.45
Calculated formation energy, kcal/mol of atoms: -20.656
Fermi-level density of states, states/eV/cell: 5.68
M_tot, μB/f.u.: 0.00

(8)
The following is a DFT calculation (PBE) of a relaxed PmSm2Dy6Ho crystal.

a = 9.6556 Å, b = 8.7867 Å, c = 8.7867 Å
α = 118.01°, β = 94.28°, γ = 94.28°
Last column: nearest neighbours and their distance in Å.
Sites, in units of the cell vectors:
Pm 0.2500 0.9796 0.0204  4 Sm 3.38-3.39, 4 Dy 3.59-3.67
Pm 0.7500 0.0204 0.9796  4 Sm 3.38-3.39, 4 Dy 3.59-3.67
Sm 0.4566 0.8040 0.7009  6 Dy 3.27-3.65, 2 Pm 3.38-3.39, 1 Ho 3.54
Sm 0.0434 0.2991 0.1960  6 Dy 3.27-3.65, 2 Pm 3.38-3.39, 1 Ho 3.54
Sm 0.5434 0.1960 0.2991  6 Dy 3.27-3.65, 2 Pm 3.38-3.39, 1 Ho 3.54
Sm 0.9566 0.7009 0.8040  6 Dy 3.27-3.65, 2 Pm 3.38-3.39, 1 Ho 3.54
Dy 0.0569 0.1235 0.7448  7 Dy 3.40-3.75, 1 Sm 3.53, 1 Pm 3.67, 1 Ho 3.79
Dy 0.4431 0.2552 0.8765  7 Dy 3.40-3.75, 1 Sm 3.53, 1 Pm 3.67, 1 Ho 3.79
Dy 0.9431 0.8765 0.2552  7 Dy 3.40-3.75, 1 Sm 3.53, 1 Pm 3.67, 1 Ho 3.79
Dy 0.5569 0.7448 0.1235  7 Dy 3.40-3.75, 1 Sm 3.53, 1 Pm 3.67, 1 Ho 3.79
Dy 0.3145 0.9804 0.4290  2 Dy 3.23-3.57, 1 Sm 3.40, 1 Ho 3.46, 1 Pm 3.59
Dy 0.1855 0.5710 0.0196  2 Dy 3.23-3.57, 1 Sm 3.40, 1 Ho 3.46, 1 Pm 3.59
Dy 0.6855 0.0196 0.5710  2 Dy 3.23-3.57, 1 Sm 3.40, 1 Ho 3.46, 1 Pm 3.59
Dy 0.8145 0.4290 0.9804  2 Dy 3.23-3.57, 1 Sm 3.40, 1 Ho 3.46, 1 Pm 3.59
Dy 0.1196 0.7067 0.4937  4 Dy 3.23-3.51, 3 Sm 3.27-3.45, 2 Ho 3.42-3.56
Dy 0.3804 0.5063 0.2933  4 Dy 3.23-3.51, 3 Sm 3.27-3.45, 2 Ho 3.42-3.56
Dy 0.8804 0.2933 0.5063  4 Dy 3.23-3.51, 3 Sm 3.27-3.45, 2 Ho 3.42-3.56
Dy 0.6196 0.4937 0.7067  4 Dy 3.23-3.51, 3 Sm 3.27-3.45, 2 Ho 3.42-3.56
Ho 0.2500 0.4080 0.5920  8 Dy 3.42-3.79, 2 Sm 3.54
Ho 0.7500 0.5920 0.4080  8 Dy 3.42-3.79, 2 Sm 3.54

## Properties
Space-group type: C2/c (15)
DFT total energy, eV for the cell shown: -90.41
Calculated formation energy, kcal/mol of atoms: 2.704
Fermi-level density of states, states/eV/cell: 28.08
M_tot, μB/f.u.: 0.00

(9)
The following is a DFT calculation (PBE) of a relaxed Y2Sc8Tc crystal.

a = 5.0666 Å, b = 6.3278 Å, c = 8.8908 Å
α = 84.42°, β = 106.55°, γ = 90.00°
Last column: nearest neighbours and their distance in Å.
Sites, in units of the cell vectors:
Y 0.7805 0.6621 0.5609  9 Sc 3.26-3.49, 2 Y 3.48
Y 0.2195 0.3379 0.4390  9 Sc 3.26-3.49, 2 Y 3.48
Sc 0.4170 0.3867 0.8340  1 Tc 2.70
Sc 0.6422 0.1087 0.2844  1 Tc 2.59
Sc 0.8409 0.1565 0.6818  6 Sc 3.04-3.26, 4 Y 3.26-3.40
Sc 0.9723 0.7692 0.9446  2 Tc 2.99, 7 Sc 3.15-3.26
Sc 0.1591 0.8435 0.3182  6 Sc 3.04-3.26, 4 Y 3.26-3.40
Sc 0.3578 0.8913 0.7156  1 Tc 2.59
Sc 0.5830 0.6133 0.1660  1 Tc 2.70
Sc 0.0277 0.2308 0.0554  2 Tc 2.99, 7 Sc 3.15-3.26
Tc 0.5000 0.0000 0.0000  4 Sc 2.59-2.70

## Properties
Space-group type: C2/m (12)
DFT total energy, eV for the cell shown: -74.15
Calculated formation energy, kcal/mol of atoms: -0.429
Fermi-level density of states, states/eV/cell: 20.34
M_tot, μB/f.u.: 0.00

(10)
The following is a DFT calculation (PBE) of a relaxed Rb2TlCdF6 crystal.

a = 6.5310 Å, b = 6.5310 Å, c = 6.5339 Å
α = 60.02°, β = 60.02°, γ = 90.00°
Last column: nearest neighbours and their distance in Å.
Sites, in units of the cell vectors:
Tl 0.0000 0.0000 0.0000  6 F 2.38
F 0.2572 0.2572 0.4856  1 Cd 2.24, 1 Tl 2.38
F 0.7428 0.7428 0.5144  1 Cd 2.24, 1 Tl 2.38
F 0.2573 0.2573 0.0000  1 Cd 2.24, 1 Tl 2.38
F 0.7427 0.7427 0.0000  1 Cd 2.24, 1 Tl 2.38
F 0.7427 0.2573 0.0000  1 Cd 2.24, 1 Tl 2.38
F 0.2573 0.7427 0.0000  1 Cd 2.24, 1 Tl 2.38
Rb 0.7500 0.2500 0.5000  12 F 3.27
Rb 0.2500 0.7500 0.5000  12 F 3.27
Cd 0.5000 0.5000 0.0000  6 F 2.24

## Properties
Space-group type: Fm-3m (225)
Formation energy from raw total energies, meV per atom: -2293
DFT total energy, eV for the cell shown: -39.38
Fermi-level density of states, states/eV/cell: 2.81
M_tot, μB/f.u.: 0.00